The following is a DFT calculation (PBE-GGA) of an optimized crystal structure of Ni2PtRh.

Structure (POSCAR):
```
Ni2PtRh
1.0
-2.639 0.007 0.495
-0.352 -3.114 -1.829
0.847 -2.771 4.556
Ni Pt Rh
2 1 1
Direct
0.000 0.000 0.993
0.000 0.000 0.507
0.500 0.500 0.250
0.500 0.500 0.750
```

Summary:
* DFT total energy: -6.262 eV per atom
* M_tot: 0.66 μB per atom
* energy of formation from the pure elements: -23 meV/atom